Entry 1:
ZnPb2Cl | GGA-PBE | relaxed

Cell: 5.551 5.551 5.551 Å, 127.40 127.40 77.61°
Atoms (fractional coordinates):
1 Cl 0.750 0.250 0.500
2 Pb 0.000 0.000 0.000
3 Pb 0.500 0.500 0.000
4 Zn 0.250 0.750 0.500

polymorph energy (0 for the lowest one) = 0.56 eV/f.u.
total moment = 0.00 μB/atom
DFT total energy = -10.8 eV for the cell shown
ΔE_f (raw) = -0.0694 eV per atom
V = 105 Å³/cell


Entry 2:
Zn2PbCl | GGA-PBE | relaxed

Cell: 5.234 3.424 5.406 Å, 90.02 90.00 90.00°
Atoms (fractional coordinates):
1 Cl 0.000 0.468 0.358
2 Pb 0.500 0.922 0.813
3 Zn 0.000 0.951 0.010
4 Zn 0.500 0.159 0.319

polymorph energy (0 for the lowest one) = 0.38 eV/f.u.
total moment = 0.00 μB/atom
DFT total energy = -8.6 eV for the cell shown
ΔE_f (raw) = -0.1139 eV per atom
V = 97 Å³/cell


Entry 3:
ZnPb2Cl | GGA-PBE | relaxed

Cell: 6.852 6.852 6.852 Å, 143.79 143.79 52.14°
Atoms (fractional coordinates):
1 Cl 0.750 0.250 0.500
2 Pb 0.000 0.000 0.000
3 Pb 0.250 0.750 0.500
4 Zn 0.500 0.500 0.000

polymorph energy (0 for the lowest one) = 0.45 eV/f.u.
total moment = 0.00 μB/atom
DFT total energy = -10.9 eV for the cell shown
ΔE_f (raw) = -0.0954 eV per atom
V = 112 Å³/cell


Entry 4:
Zn2PbCl | GGA-PBE | relaxed

Cell: 3.403 3.403 9.397 Å, 90.00 90.00 119.52°
Atoms (fractional coordinates):
1 Cl 0.000 0.000 0.431
2 Pb 0.500 0.500 0.774
3 Zn 0.000 0.000 0.043
4 Zn 0.500 0.500 0.252

polymorph energy (0 for the lowest one) = 0.27 eV/f.u.
total moment = 0.00 μB/atom
DFT total energy = -8.7 eV for the cell shown
ΔE_f (raw) = -0.1417 eV per atom
V = 95 Å³/cell


Entry 5:
ZnPb2Cl | GGA-PBE | relaxed

Cell: 5.990 5.990 5.990 Å, 143.45 121.16 71.30°
Atoms (fractional coordinates):
1 Cl 0.750 0.250 0.500
2 Pb 0.015 0.015 0.000
3 Pb 0.485 0.485 0.000
4 Zn 0.250 0.750 0.500

polymorph energy (0 for the lowest one) = 0.32 eV/f.u.
total moment = 0.00 μB/atom
DFT total energy = -11.1 eV for the cell shown
ΔE_f (raw) = -0.1298 eV per atom
V = 108 Å³/cell


Entry 6:
Zn2PbCl | GGA-PBE | relaxed

Cell: 8.048 8.048 8.048 Å, 27.16 27.16 27.16°
Atoms (fractional coordinates):
1 Cl 0.250 0.250 0.250
2 Pb 0.750 0.750 0.750
3 Zn 0.995 0.995 0.995
4 Zn 0.505 0.505 0.505

polymorph energy (0 for the lowest one) = 0.41 eV/f.u.
total moment = 0.00 μB/atom
DFT total energy = -8.5 eV for the cell shown
ΔE_f (raw) = -0.1054 eV per atom
V = 96 Å³/cell


Entry 7:
Zn2PbCl | GGA-PBE | relaxed

Cell: 3.609 3.609 7.110 Å, 90.00 90.00 90.00°
Atoms (fractional coordinates):
1 Cl 0.500 0.500 0.250
2 Pb 0.500 0.500 0.750
3 Zn 0.000 0.000 0.005
4 Zn 0.000 0.000 0.495

polymorph energy (0 for the lowest one) = 0.68 eV/f.u.
total moment = 0.00 μB/atom
DFT total energy = -8.3 eV for the cell shown
ΔE_f (raw) = -0.0381 eV per atom
V = 93 Å³/cell


Entry 8:
ZnPb2Cl | GGA-PBE | relaxed

Cell: 8.330 8.330 8.330 Å, 27.84 27.84 27.84°
Atoms (fractional coordinates):
1 Cl 0.750 0.750 0.750
2 Pb 0.990 0.990 0.990
3 Pb 0.510 0.510 0.510
4 Zn 0.250 0.250 0.250

polymorph energy (0 for the lowest one) = 0.14 eV/f.u.
total moment = 0.00 μB/atom
DFT total energy = -11.2 eV for the cell shown
ΔE_f (raw) = -0.1735 eV per atom
V = 111 Å³/cell


Entry 9:
ZrPbCl2 | GGA-PBE | relaxed

Cell: 11.209 11.209 11.209 Å, 17.13 17.13 17.13°
Atoms (fractional coordinates):
1 Pb 0.250 0.250 0.250
2 Zr 0.750 0.750 0.750
3 Cl 0.029 0.029 0.029
4 Cl 0.471 0.471 0.471

polymorph energy (0 for the lowest one) = 0.00 eV/f.u.
total moment = 0.00 μB/atom
DFT total energy = -20.2 eV for the cell shown
ΔE_f (raw) = -1.0583 eV per atom
V = 107 Å³/cell


Entry 10:
ZrPbCl2 | GGA-PBE | relaxed

Cell: 5.562 5.562 3.226 Å, 90.00 90.00 110.31°
Atoms (fractional coordinates):
1 Pb 0.500 0.000 0.500
2 Zr 0.000 0.500 0.500
3 Cl 0.000 0.000 0.000
4 Cl 0.500 0.500 0.000

polymorph energy (0 for the lowest one) = 3.08 eV/f.u.
total moment = 0.00 μB/atom
DFT total energy = -17.1 eV for the cell shown
ΔE_f (raw) = -0.2876 eV per atom
V = 94 Å³/cell


Entry 11:
ZrPbCl | GGA-PBE | relaxed

Cell: 8.884 8.610 3.302 Å, 83.84 74.47 21.69°
Atoms (fractional coordinates):
1 Cl 0.038 0.038 0.962
2 Pb 0.309 0.309 0.691
3 Zr 0.653 0.653 0.347

polymorph energy (0 for the lowest one) = 0.50 eV/f.u.
total moment = 0.00 μB/atom
DFT total energy = -15.9 eV for the cell shown
ΔE_f (raw) = -0.5831 eV per atom
V = 83 Å³/cell


Entry 12:
ZrPbCl2 | GGA-PBE | relaxed

Cell: 9.156 9.156 9.156 Å, 160.11 152.08 34.52°
Atoms (fractional coordinates):
1 Pb 0.404 0.404 0.000
2 Zr 0.229 0.729 0.500
3 Cl 0.113 0.113 0.000
4 Cl 0.754 0.254 0.500

polymorph energy (0 for the lowest one) = 1.38 eV/f.u.
total moment = 0.00 μB/atom
DFT total energy = -18.8 eV for the cell shown
ΔE_f (raw) = -0.7127 eV per atom
V = 122 Å³/cell


What is the DFT total energy in the eleventh record?
-15.9 eV for the cell shown


Repeat the twelfth record exactly.
ZrPbCl2 | GGA-PBE | relaxed

Cell: 9.156 9.156 9.156 Å, 160.11 152.08 34.52°
Atoms (fractional coordinates):
1 Pb 0.404 0.404 0.000
2 Zr 0.229 0.729 0.500
3 Cl 0.113 0.113 0.000
4 Cl 0.754 0.254 0.500

polymorph energy (0 for the lowest one) = 1.38 eV/f.u.
total moment = 0.00 μB/atom
DFT total energy = -18.8 eV for the cell shown
ΔE_f (raw) = -0.7127 eV per atom
V = 122 Å³/cell